Run 1
First-principles (PBE) data for CuRuW2 after structural relaxation, as listed in the Alexandria database.

Output
For the size of the total moment, the calculation gives 0.000 μB/atom. The calculation puts the volume at 58.4 Å³/f.u.

Geometry as CIF:
```
data_CuRuW2
_chemical_formula_sum 'Cu2 Ru2 W4'
_cell_length_a 3.8304
_cell_length_b 3.8304
_cell_length_c 7.9670
_cell_angle_alpha 90.00
_cell_angle_beta 90.00
_cell_angle_gamma 90.00
_symmetry_space_group_name_H-M 'I 4/m m m'
_symmetry_Int_Tables_number 139
_symmetry_space_group_name_Hall '-I 4 2'
loop_
_atom_site_label
_atom_site_type_symbol
_atom_site_fract_x
_atom_site_fract_y
_atom_site_fract_z
Cu1 Cu 0.0000 0.0000 0.0000
Ru1 Ru 0.0000 0.0000 0.5000
W1 W 0.0000 0.5000 0.2500
```


Run 2
First-principles (PBE) data for CuRuW2 after structural relaxation, as listed in the Alexandria database.

Output
For the size of the total moment, the calculation gives 0.000 μB/atom. The calculation puts the volume at 58.5 Å³/f.u.

Geometry as CIF:
```
data_CuRuW2
_chemical_formula_sum 'Cu2 Ru2 W4'
_cell_length_a 5.4194
_cell_length_b 7.7990
_cell_length_c 2.7672
_cell_angle_alpha 90.00
_cell_angle_beta 90.00
_cell_angle_gamma 90.00
_symmetry_space_group_name_H-M 'C m m m'
_symmetry_Int_Tables_number 65
_symmetry_space_group_name_Hall '-C 2 2'
loop_
_atom_site_label
_atom_site_type_symbol
_atom_site_fract_x
_atom_site_fract_y
_atom_site_fract_z
Cu1 Cu 0.0000 0.0000 0.0000
Ru1 Ru 0.0000 0.5000 0.0000
W1 W 0.2500 0.2500 0.5000
```


It turns out run 2 is the most stable, with the second structure 42 meV/atom higher.


Run 1
First-principles (PBE) data for CuRuW2 after structural relaxation, as listed in the Alexandria database.

Output
For the size of the total moment, the calculation gives 0.000 μB/atom. The calculation puts the volume at 59.1 Å³/f.u.

Geometry as CIF:
```
data_CuRuW2
_chemical_formula_sum 'Cu1 Ru1 W2'
_cell_length_a 2.7703
_cell_length_b 2.7703
_cell_length_c 7.7055
_cell_angle_alpha 90.00
_cell_angle_beta 90.00
_cell_angle_gamma 90.00
_symmetry_space_group_name_H-M 'P 4 m m'
_symmetry_Int_Tables_number 99
loop_
_symmetry_equiv_pos_as_xyz
'x,y,z'
'-y,x,z'
'-x,-y,z'
'y,-x,z'
'-x,y,z'
'y,x,z'
'x,-y,z'
'-y,-x,z'
loop_
_atom_site_label
_atom_site_type_symbol
_atom_site_fract_x
_atom_site_fract_y
_atom_site_fract_z
Cu1 Cu 0.0000 0.0000 0.0000
Ru1 Ru 0.5000 0.5000 0.2371
W1 W 0.0000 0.0000 0.4728
W2 W 0.5000 0.5000 0.7581
```


Run 2
First-principles (PBE) data for CuRuW2 after structural relaxation, as listed in the Alexandria database.

Output
For the size of the total moment, the calculation gives 0.000 μB/atom. The calculation puts the volume at 59.3 Å³/f.u.

Geometry as CIF:
```
data_CuRuW2
_chemical_formula_sum 'Cu4 Ru4 W8'
_cell_length_a 6.1894
_cell_length_b 6.1894
_cell_length_c 6.1894
_cell_angle_alpha 90.00
_cell_angle_beta 90.00
_cell_angle_gamma 90.00
_symmetry_space_group_name_H-M 'F m -3 m'
_symmetry_Int_Tables_number 225
_symmetry_space_group_name_Hall '-F 4 2 3'
loop_
_atom_site_label
_atom_site_type_symbol
_atom_site_fract_x
_atom_site_fract_y
_atom_site_fract_z
Cu1 Cu 0.0000 0.0000 0.0000
Ru1 Ru 0.0000 0.0000 0.5000
W1 W 0.2500 0.2500 0.2500
```


It turns out run 1 is the most stable, with the second structure 247 meV/atom higher.


Run 1
First-principles (PBE) data for CuRuW2 after structural relaxation, as listed in the Alexandria database.

Output
For the size of the total moment, the calculation gives 0.000 μB/atom. The calculation puts the volume at 60.0 Å³/f.u.

Geometry as CIF:
```
data_CuRuW2
_chemical_formula_sum 'Cu3 Ru3 W6'
_cell_length_a 2.7599
_cell_length_b 2.7599
_cell_length_c 27.2658
_cell_angle_alpha 90.00
_cell_angle_beta 90.00
_cell_angle_gamma 120.00
_symmetry_space_group_name_H-M 'R 3 m'
_symmetry_Int_Tables_number 160
_symmetry_space_group_name_Hall 'R 3 -2"'
loop_
_atom_site_label
_atom_site_type_symbol
_atom_site_fract_x
_atom_site_fract_y
_atom_site_fract_z
Cu1 Cu 0.0000 0.0000 0.0000
Ru1 Ru 0.0000 0.0000 0.7480
W1 W 0.0000 0.0000 0.2516
W2 W 0.0000 0.0000 0.4938
```


Run 2
First-principles (PBE) data for CuRuW2 after structural relaxation, as listed in the Alexandria database.

Output
For the size of the total moment, the calculation gives 0.000 μB/atom. The calculation puts the volume at 59.5 Å³/f.u.

Geometry as CIF:
```
data_CuRuW2
_chemical_formula_sum 'Cu2 Ru2 W4'
_cell_length_a 3.1145
_cell_length_b 4.3906
_cell_length_c 8.6999
_cell_angle_alpha 90.00
_cell_angle_beta 90.00
_cell_angle_gamma 90.00
_symmetry_space_group_name_H-M 'I m m 2'
_symmetry_Int_Tables_number 44
loop_
_symmetry_equiv_pos_as_xyz
'x,y,z'
'-x,-y,z'
'-x,y,z'
'x,-y,z'
'x+1/2,y+1/2,z+1/2'
'-x+1/2,-y+1/2,z+1/2'
'-x+1/2,y+1/2,z+1/2'
'x+1/2,-y+1/2,z+1/2'
loop_
_atom_site_label
_atom_site_type_symbol
_atom_site_fract_x
_atom_site_fract_y
_atom_site_fract_z
Cu1 Cu 0.0000 0.0000 0.0000
Ru1 Ru 0.0000 0.5000 0.7568
W1 W 0.0000 0.0000 0.5034
W2 W 0.0000 0.5000 0.2452
```


Run 3
First-principles (PBE) data for CuRuW2 after structural relaxation, as listed in the Alexandria database.

Output
For the size of the total moment, the calculation gives 0.000 μB/atom. The calculation puts the volume at 58.2 Å³/f.u.

Geometry as CIF:
```
data_CuRuW2
_chemical_formula_sum 'Cu1 Ru1 W2'
_cell_length_a 3.8555
_cell_length_b 3.8555
_cell_length_c 3.9168
_cell_angle_alpha 90.00
_cell_angle_beta 90.00
_cell_angle_gamma 90.00
_symmetry_space_group_name_H-M 'P 4/m m m'
_symmetry_Int_Tables_number 123
_symmetry_space_group_name_Hall '-P 4 2'
loop_
_atom_site_label
_atom_site_type_symbol
_atom_site_fract_x
_atom_site_fract_y
_atom_site_fract_z
Cu1 Cu 0.0000 0.0000 0.0000
Ru1 Ru 0.5000 0.5000 0.0000
W1 W 0.0000 0.5000 0.5000
```


Run 4
First-principles (PBE) data for CuRuW2 after structural relaxation, as listed in the Alexandria database.

Output
For the size of the total moment, the calculation gives 0.000 μB/atom. The calculation puts the volume at 58.6 Å³/f.u.

Geometry as CIF:
```
data_CuRuW2
_chemical_formula_sum 'Cu1 Ru1 W2'
_cell_length_a 2.7781
_cell_length_b 2.7781
_cell_length_c 7.5951
_cell_angle_alpha 90.00
_cell_angle_beta 90.00
_cell_angle_gamma 90.00
_symmetry_space_group_name_H-M 'P 4/m m m'
_symmetry_Int_Tables_number 123
_symmetry_space_group_name_Hall '-P 4 2'
loop_
_atom_site_label
_atom_site_type_symbol
_atom_site_fract_x
_atom_site_fract_y
_atom_site_fract_z
Cu1 Cu 0.0000 0.0000 0.0000
Ru1 Ru 0.0000 0.0000 0.5000
W1 W 0.5000 0.5000 0.2486
```


It turns out run 3 is the most stable, with the second structure 53 meV/atom higher.


Run 1
First-principles (PBE) data for CuRuW2 after structural relaxation, as listed in the Alexandria database.

Output
For the size of the total moment, the calculation gives 0.000 μB/atom. The calculation puts the volume at 59.0 Å³/f.u.

Geometry as CIF:
```
data_CuRuW2
_chemical_formula_sum 'Cu2 Ru2 W4'
_cell_length_a 9.0082
_cell_length_b 2.7732
_cell_length_c 4.7906
_cell_angle_alpha 90.00
_cell_angle_beta 99.70
_cell_angle_gamma 90.00
_symmetry_space_group_name_H-M 'C 1 m 1'
_symmetry_Int_Tables_number 8
loop_
_symmetry_equiv_pos_as_xyz
'x,y,z'
'x,-y,z'
'x+1/2,y+1/2,z'
'x+1/2,-y+1/2,z'
loop_
_atom_site_label
_atom_site_type_symbol
_atom_site_fract_x
_atom_site_fract_y
_atom_site_fract_z
Cu1 Cu 0.0000 0.0000 0.0000
Ru1 Ru 0.2523 0.0000 0.7392
W1 W 0.0059 0.5000 0.5094
W2 W 0.2486 0.5000 0.2229
```


Run 2
First-principles (PBE) data for CuRuW2 after structural relaxation, as listed in the Alexandria database.

Output
For the size of the total moment, the calculation gives 0.000 μB/atom. The calculation puts the volume at 58.5 Å³/f.u.

Geometry as CIF:
```
data_CuRuW2
_chemical_formula_sum 'Cu1 Ru1 W2'
_cell_length_a 2.7696
_cell_length_b 3.9173
_cell_length_c 5.3932
_cell_angle_alpha 90.00
_cell_angle_beta 90.00
_cell_angle_gamma 90.00
_symmetry_space_group_name_H-M 'P m m m'
_symmetry_Int_Tables_number 47
loop_
_symmetry_equiv_pos_as_xyz
'x,y,z'
'-x,-y,-z'
'-x,-y,z'
'x,y,-z'
'x,-y,-z'
'-x,y,z'
'-x,y,-z'
'x,-y,z'
loop_
_atom_site_label
_atom_site_type_symbol
_atom_site_fract_x
_atom_site_fract_y
_atom_site_fract_z
Cu1 Cu 0.0000 0.0000 0.0000
Ru1 Ru 0.0000 0.0000 0.5000
W1 W 0.5000 0.5000 0.2534
```


Run 3
First-principles (PBE) data for CuRuW2 after structural relaxation, as listed in the Alexandria database.

Output
For the size of the total moment, the calculation gives 0.000 μB/atom. The calculation puts the volume at 58.8 Å³/f.u.

Geometry as CIF:
```
data_CuRuW2
_chemical_formula_sum 'Cu1 Ru1 W2'
_cell_length_a 3.2083
_cell_length_b 3.2083
_cell_length_c 5.7096
_cell_angle_alpha 90.00
_cell_angle_beta 90.00
_cell_angle_gamma 90.00
_symmetry_space_group_name_H-M 'P 4 m m'
_symmetry_Int_Tables_number 99
loop_
_symmetry_equiv_pos_as_xyz
'x,y,z'
'-y,x,z'
'-x,-y,z'
'y,-x,z'
'-x,y,z'
'y,x,z'
'x,-y,z'
'-y,-x,z'
loop_
_atom_site_label
_atom_site_type_symbol
_atom_site_fract_x
_atom_site_fract_y
_atom_site_fract_z
Cu1 Cu 0.0000 0.0000 0.0000
Ru1 Ru 0.5000 0.5000 0.2390
W1 W 0.0000 0.0000 0.4950
W2 W 0.5000 0.5000 0.7644
```


It turns out run 2 is the most stable, with the second structure 62 meV/atom higher.